Computed, not measured: a relaxed YbH3Pd crystal at the PBE level of DFT. Values from VASP.

Summary:
calculated total energy	-19.42	eV per cell
space-group type	Pm-3m, No. 221

Structure (Quantum ESPRESSO input):
```
&SYSTEM
  ibrav = 0, nat = 5, ntyp = 3
/
ATOMIC_SPECIES
Yb 173.04 Yb.upf
H 1.01 H.upf
Pd 106.42 Pd.upf
CELL_PARAMETERS angstrom
3.709 0.000 0.000
0.000 3.709 0.000
0.000 0.000 3.709
ATOMIC_POSITIONS crystal
Yb 0.000 0.000 0.000
H 0.000 0.500 0.500
H 0.500 0.000 0.500
H 0.500 0.500 0.000
Pd 0.500 0.500 0.500
```



Computed, not measured: a relaxed ZnH3Pd6 crystal at the PBE level of DFT. Values from VASP.

Summary:
calculated total energy	-88.68	eV per cell
space-group type	P-1, No. 2

Structure (Quantum ESPRESSO input):
```
&SYSTEM
  ibrav = 0, nat = 20, ntyp = 3
/
ATOMIC_SPECIES
Zn 65.41 Zn.upf
H 1.01 H.upf
Pd 106.42 Pd.upf
CELL_PARAMETERS angstrom
2.962 0.000 0.000
-1.475 9.303 0.000
-1.466 -4.403 8.348
ATOMIC_POSITIONS crystal
Zn 0.152 0.197 0.109
Zn 0.848 0.803 0.891
H 0.344 0.034 0.656
H 0.385 0.305 0.472
H 0.400 0.628 0.168
H 0.600 0.372 0.832
H 0.615 0.695 0.528
H 0.656 0.966 0.344
Pd 0.007 0.768 0.246
Pd 0.153 0.673 0.627
Pd 0.276 0.101 0.452
Pd 0.285 0.610 0.958
Pd 0.431 0.548 0.320
Pd 0.439 0.024 0.855
Pd 0.561 0.976 0.145
Pd 0.569 0.452 0.680
Pd 0.715 0.390 0.042
Pd 0.724 0.899 0.548
Pd 0.847 0.327 0.373
Pd 0.993 0.232 0.754
```



Computed, not measured: a relaxed ZnH2Pd3 crystal at the PBE level of DFT. Values from VASP.

Summary:
calculated total energy	-49.29	eV per cell
space-group type	C2/m, No. 12

Structure (Quantum ESPRESSO input):
```
&SYSTEM
  ibrav = 0, nat = 12, ntyp = 3
/
ATOMIC_SPECIES
Zn 65.41 Zn.upf
H 1.01 H.upf
Pd 106.42 Pd.upf
CELL_PARAMETERS angstrom
7.468 -1.439 0.000
7.468 1.439 0.000
-0.070 0.000 6.495
ATOMIC_POSITIONS crystal
Zn 0.159 0.159 0.497
Zn 0.841 0.841 0.503
H 0.162 0.162 0.953
H 0.494 0.494 0.706
H 0.506 0.506 0.294
H 0.838 0.838 0.047
Pd 0.053 0.053 0.812
Pd 0.280 0.280 0.190
Pd 0.386 0.386 0.817
Pd 0.614 0.614 0.183
Pd 0.720 0.720 0.810
Pd 0.947 0.947 0.188
```